ZrGePCl2 meta-GGA SCAN single point on PBEsol structure; space-group type = P4/mmm (123); size of the total moment = 1.45 μB/cell; excess energy over the best structure of this formula in the dataset = 568 meV/atom
1.0
4.6798 0.0000 0.0000
0.0000 4.6798 0.0000
0.0000 0.0000 4.8890
P Ge Zr Cl
1 1 1 2
Direct
0.0000 0.0000 0.5000
0.0000 0.0000 0.0000
0.5000 0.5000 0.5000
0.0000 0.5000 0.0000
0.5000 0.0000 0.0000